[1]
Here is crystalline Cs3As2H8 at its relaxed geometry from Alexandria. Energies are from PBE-GGA.

Geometry as POSCAR:
```
Cs3As2H8
1.0
3.3225 1.9183 7.8971
-3.3225 1.9183 7.8971
0.0000 -3.8365 7.8971
Cs As H
3 2 8
Direct
0.0000 0.0000 0.0000 Cs
0.2060 0.2060 0.2060 Cs
0.7940 0.7940 0.7940 Cs
0.4335 0.4335 0.4335 As
0.5665 0.5665 0.5665 As
0.2461 0.7337 0.7337 H
0.2663 0.2663 0.7539 H
0.2663 0.7539 0.2663 H
0.3678 0.3678 0.3678 H
0.6322 0.6322 0.6322 H
0.7337 0.2461 0.7337 H
0.7337 0.7337 0.2461 H
0.7539 0.2663 0.2663 H
```

volume: 23.2 Å³/atom
DFT total energy: -2.794 eV/atom
spin magnetization: 0.00 Bohr magnetons per cell

***

[2]
Here is crystalline Cs3AsH3 at its relaxed geometry from Alexandria. Energies are from PBE-GGA.

Geometry as POSCAR:
```
Cs3AsH3
1.0
9.2025 0.0000 0.0000
-4.6012 7.9696 0.0000
0.0000 0.0000 6.1523
Cs As H
6 2 6
Direct
0.0860 0.3723 0.2500 Cs
0.2863 0.9140 0.2500 Cs
0.3723 0.2863 0.7500 Cs
0.6277 0.7137 0.2500 Cs
0.7137 0.0860 0.7500 Cs
0.9140 0.6277 0.7500 Cs
0.3333 0.6667 0.7500 As
0.6667 0.3333 0.2500 As
0.1304 0.4448 0.7500 H
0.3144 0.8696 0.7500 H
0.4448 0.3144 0.2500 H
0.5552 0.6856 0.7500 H
0.6856 0.1304 0.2500 H
0.8696 0.5552 0.2500 H
```

volume: 32.2 Å³/atom
DFT total energy: -2.410 eV/atom
spin magnetization: 1.48 Bohr magnetons per cell

***

[3]
Here is crystalline Cs3AsH at its relaxed geometry from Alexandria. Energies are from PBE-GGA.

Geometry as POSCAR:
```
Cs3AsH
1.0
5.8801 0.0000 0.0000
0.0000 5.8801 0.0000
0.0000 0.0000 5.8801
Cs As H
3 1 1
Direct
0.0000 0.0000 0.5000 Cs
0.0000 0.5000 0.0000 Cs
0.5000 0.0000 0.0000 Cs
0.5000 0.5000 0.5000 As
0.0000 0.0000 0.0000 H
```

volume: 40.7 Å³/atom
DFT total energy: -2.253 eV/atom
E above lowest polymorph: 77.9 meV per atom
spin magnetization: 1.00 Bohr magnetons per cell

***

[4]
Here is crystalline Cs2AsH at its relaxed geometry from Alexandria. Energies are from PBE-GGA.

Geometry as POSCAR:
```
Cs2AsH
1.0
4.1402 -4.1867 0.0000
4.1402 4.1867 0.0000
-0.0058 0.0000 4.9045
Cs As H
2 1 1
Direct
0.2488 0.7512 0.0000 Cs
0.7512 0.2488 0.0000 Cs
0.2548 0.2548 0.4991 As
0.4448 0.4448 0.5032 H
```

volume: 42.5 Å³/atom
DFT total energy: -2.684 eV/atom
E above lowest polymorph: 0.0 meV per atom
spin magnetization: 0.00 Bohr magnetons per cell

***

[5]
Here is crystalline CsAs3H2 at its relaxed geometry from Alexandria. Energies are from PBE-GGA.

Geometry as POSCAR:
```
CsAs3H2
1.0
5.5753 -5.9616 0.0000
5.5753 5.9616 0.0000
-2.3155 0.0000 4.6204
Cs As H
2 6 4
Direct
0.1751 0.8249 0.7500 Cs
0.8249 0.1751 0.2500 Cs
0.1429 0.4200 0.0284 As
0.4200 0.1429 0.5284 As
0.4706 0.5294 0.2500 As
0.5294 0.4706 0.7500 As
0.5800 0.8571 0.4716 As
0.8571 0.5800 0.9716 As
0.1443 0.4345 0.3352 H
0.4345 0.1443 0.8352 H
0.5655 0.8557 0.1648 H
0.8557 0.5655 0.6648 H
```

volume: 25.6 Å³/atom
DFT total energy: -3.669 eV/atom
spin magnetization: 0.00 Bohr magnetons per cell

***

[6]
Here is crystalline Cs3As2H5 at its relaxed geometry from Alexandria. Energies are from PBE-GGA.

Geometry as POSCAR:
```
Cs3As2H5
1.0
-3.7355 9.3238 3.7371
3.7355 -9.3238 3.7371
3.7355 9.3238 -3.7371
Cs As H
6 4 10
Direct
0.1319 0.5904 0.7223 Cs
0.2500 0.2500 0.0000 Cs
0.3681 0.0904 0.4584 Cs
0.6319 0.9096 0.5416 Cs
0.7500 0.7500 0.0000 Cs
0.8681 0.4096 0.2777 Cs
0.1695 0.0686 0.2381 As
0.3305 0.5686 0.8991 As
0.6695 0.4314 0.1009 As
0.8305 0.9314 0.7619 As
0.0915 0.2500 0.8415 H
0.1028 0.1944 0.2972 H
0.2500 0.7500 0.5000 H
0.3972 0.6944 0.0916 H
0.4085 0.2500 0.1585 H
0.5915 0.7500 0.8415 H
0.6028 0.3056 0.9084 H
0.7500 0.2500 0.5000 H
0.8972 0.8056 0.7028 H
0.9085 0.7500 0.1585 H
```

volume: 26.0 Å³/atom
DFT total energy: -2.913 eV/atom
spin magnetization: 0.00 Bohr magnetons per cell

***

[7]
Here is crystalline Cs2AsH at its relaxed geometry from Alexandria. Energies are from PBE-GGA.

Geometry as POSCAR:
```
Cs2AsH
1.0
0.0000 4.2763 4.2763
4.2763 0.0000 4.2763
4.2763 4.2763 0.0000
Cs As H
2 1 1
Direct
0.2500 0.2500 0.2500 Cs
0.7500 0.7500 0.7500 Cs
0.0000 0.0000 0.0000 As
0.5000 0.5000 0.5000 H
```

volume: 39.1 Å³/atom
DFT total energy: -2.228 eV/atom
E above lowest polymorph: 455.8 meV per atom
spin magnetization: 2.00 Bohr magnetons per cell

***

[8]
Here is crystalline Cs2AsH3 at its relaxed geometry from Alexandria. Energies are from PBE-GGA.

Geometry as POSCAR:
```
Cs2AsH3
1.0
0.0000 4.8598 8.1902
3.9909 0.0000 8.1902
3.9909 4.8598 0.0000
Cs As H
4 2 6
Direct
0.1840 0.8160 0.1840 Cs
0.2500 0.2500 0.2500 Cs
0.7500 0.7500 0.7500 Cs
0.8160 0.1840 0.8160 Cs
0.3870 0.3870 0.6130 As
0.6130 0.6130 0.3870 As
0.1352 0.6187 0.8648 H
0.2916 0.2916 0.7084 H
0.3813 0.8648 0.6187 H
0.6187 0.1352 0.3813 H
0.7084 0.7084 0.2916 H
0.8648 0.3813 0.1352 H
```

volume: 26.5 Å³/atom
DFT total energy: -2.835 eV/atom
spin magnetization: 0.00 Bohr magnetons per cell

***

[9]
Here is crystalline Cs4AsH2 at its relaxed geometry from Alexandria. Energies are from PBE-GGA.

Geometry as POSCAR:
```
Cs4AsH2
1.0
-3.6857 3.6857 7.6816
3.6857 -3.6857 7.6816
3.6857 3.6857 -7.6816
Cs As H
4 1 2
Direct
0.0000 0.5000 0.5000 Cs
0.2198 0.2198 0.0000 Cs
0.5000 0.0000 0.5000 Cs
0.7802 0.7802 0.0000 Cs
0.0000 0.0000 0.0000 As
0.4753 0.4753 0.0000 H
0.5247 0.5247 0.0000 H
```

volume: 59.6 Å³/atom
DFT total energy: -2.228 eV/atom
spin magnetization: 0.00 Bohr magnetons per cell

***

[10]
Here is crystalline CsAsH3 at its relaxed geometry from Alexandria. Energies are from PBE-GGA.

Geometry as POSCAR:
```
CsAsH3
1.0
3.0921 -3.1143 0.0000
3.0921 3.1143 0.0000
-0.0347 0.0000 4.4146
Cs As H
1 1 3
Direct
0.0000 0.0000 0.0000 Cs
0.5276 0.5276 0.5258 As
0.1479 0.5127 0.5110 H
0.5124 0.5124 0.1455 H
0.5127 0.1479 0.5110 H
```

volume: 17.0 Å³/atom
DFT total energy: -3.086 eV/atom
spin magnetization: 0.00 Bohr magnetons per cell

***

[11]
Here is crystalline Cs3AsH at its relaxed geometry from Alexandria. Energies are from PBE-GGA.

Geometry as POSCAR:
```
Cs3AsH
1.0
11.4844 0.0000 0.0000
0.0000 7.6320 0.0000
-3.7503 0.0000 9.7270
Cs As H
12 4 4
Direct
0.0866 0.0668 0.3590 Cs
0.0866 0.4332 0.8590 Cs
0.2232 0.5988 0.5622 Cs
0.2232 0.9012 0.0622 Cs
0.4041 0.1371 0.7692 Cs
0.4041 0.3629 0.2692 Cs
0.5959 0.6371 0.7308 Cs
0.5959 0.8629 0.2308 Cs
0.7768 0.0988 0.9378 Cs
0.7768 0.4012 0.4378 Cs
0.9134 0.5668 0.1410 Cs
0.9134 0.9332 0.6410 Cs
0.3960 0.5745 0.9374 As
0.3960 0.9255 0.4374 As
0.6040 0.0745 0.5626 As
0.6040 0.4255 0.0626 As
0.0499 0.2404 0.0880 H
0.0499 0.2596 0.5880 H
0.9501 0.7404 0.4120 H
0.9501 0.7596 0.9120 H
```

volume: 42.6 Å³/atom
DFT total energy: -2.331 eV/atom
E above lowest polymorph: 0.0 meV per atom
spin magnetization: 0.00 Bohr magnetons per cell

***

[12]
Here is crystalline Cs4As2H at its relaxed geometry from Alexandria. Energies are from PBE-GGA.

Geometry as POSCAR:
```
Cs4As2H
1.0
3.0872 1.7824 8.8275
-3.0872 1.7824 8.8275
0.0000 -3.5648 8.8275
Cs As H
4 2 1
Direct
0.1360 0.1360 0.1360 Cs
0.2934 0.2934 0.2934 Cs
0.7066 0.7066 0.7066 Cs
0.8640 0.8640 0.8640 Cs
0.4308 0.4308 0.4308 As
0.5692 0.5692 0.5692 As
0.5000 0.5000 0.5000 H
```

volume: 41.6 Å³/atom
DFT total energy: -2.513 eV/atom
spin magnetization: 0.99 Bohr magnetons per cell